This record from OQMD describes an optimized crystal structure of Zn2Au. The functional is PBE-GGA.

Structure (POSCAR):
```
Zn2Au
1.0
0.000 3.584 3.584
3.584 0.000 3.584
3.584 3.584 0.000
Zn Au
4 2
Direct
0.000 0.000 0.000 Zn
0.000 0.000 0.500 Zn
0.000 0.500 0.000 Zn
0.500 0.000 0.000 Zn
0.375 0.375 0.375 Au
0.625 0.625 0.625 Au
```

Computed properties:
formation energy	-91	meV per atom
SG	Fd-3m (227)